Below is crystalline Cr4Si at its relaxed geometry, with properties calculated at the PBE level.

Calculated values
**Relative energy among the computed polymorphs**: 0 meV per atom
**Symmetry**: No. 139

Lattice parameters (Å, degrees): 5.497 5.497 5.497 140.33 140.33 57.36
Fractional coordinates of all 5 atoms:
Cr: 0.614 0.614 0.000
Cr: 0.386 0.386 0.000
Cr: 0.750 0.250 0.500
Si: 0.000 0.000 0.000
Cr: 0.250 0.750 0.500